a) SnAsRh2 | PBE | optimized geometry

Results
Its magnetization is 0.00 μB per formula unit. The density comes out at 10.1 g cm⁻³. As for the density of states at the Fermi level: 0.881 states/eV/atom.

abc: 6.411 6.411 6.411
angles: 90.00 90.00 90.00
Sites, in units of the cell vectors:
Sn: 0.000 0.000 0.000
Sn: 0.000 0.500 0.500
Sn: 0.500 0.000 0.500
Sn: 0.500 0.500 0.000
As: 0.000 0.000 0.500
As: 0.000 0.500 0.000
As: 0.500 0.000 0.000
As: 0.500 0.500 0.500
Rh: 0.250 0.250 0.250
Rh: 0.250 0.250 0.750
Rh: 0.250 0.750 0.250
Rh: 0.250 0.750 0.750
Rh: 0.750 0.250 0.250
Rh: 0.750 0.250 0.750
Rh: 0.750 0.750 0.250
Rh: 0.750 0.750 0.750

b) SnAsRh2 | PBE | optimized geometry

Results
Its magnetization is 0.00 μB per formula unit. The density comes out at 8.9 g cm⁻³. As for the density of states at the Fermi level: 0.778 states/eV/atom.

abc: 4.245 4.245 16.538
angles: 90.00 90.00 90.00
Sites, in units of the cell vectors:
Sn: 0.000 0.000 0.000
Sn: 0.000 0.500 0.250
Sn: 0.500 0.000 0.750
Sn: 0.500 0.500 0.500
As: 0.000 0.000 0.500
As: 0.000 0.500 0.750
As: 0.500 0.000 0.250
As: 0.500 0.500 0.000
Rh: 0.214 0.250 0.625
Rh: 0.250 0.714 0.875
Rh: 0.250 0.786 0.375
Rh: 0.286 0.250 0.125
Rh: 0.714 0.750 0.125
Rh: 0.750 0.214 0.375
Rh: 0.750 0.286 0.875
Rh: 0.786 0.750 0.625

c) SnAsRh2 | PBE | optimized geometry

Results
Its magnetization is 0.00 μB per formula unit. The density comes out at 9.3 g cm⁻³. As for the density of states at the Fermi level: 0.363 states/eV/atom.

abc: 3.988 3.988 15.608
angles: 90.00 90.00 120.00
Sites, in units of the cell vectors:
Sn: 0.000 0.000 0.000
Sn: 0.333 0.667 0.667
Sn: 0.667 0.333 0.333
As: 0.000 0.000 0.179
As: 0.333 0.667 0.846
As: 0.667 0.333 0.512
Rh: 0.000 0.000 0.565
Rh: 0.000 0.000 0.775
Rh: 0.333 0.667 0.232
Rh: 0.333 0.667 0.442
Rh: 0.667 0.333 0.108
Rh: 0.667 0.333 0.898

d) SnAsRh2 | PBE | optimized geometry

Results
Its magnetization is 0.00 μB per formula unit. The density comes out at 9.6 g cm⁻³. As for the density of states at the Fermi level: 0.258 states/eV/atom.

abc: 7.435 6.477 5.742
angles: 90.00 90.20 90.00
Sites, in units of the cell vectors:
Sn: 0.117 0.101 0.293
Sn: 0.117 0.399 0.793
Sn: 0.883 0.601 0.207
Sn: 0.883 0.899 0.707
As: 0.377 0.563 0.193
As: 0.377 0.937 0.693
As: 0.623 0.063 0.307
As: 0.623 0.437 0.807
Rh: 0.164 0.708 0.496
Rh: 0.164 0.792 0.996
Rh: 0.401 0.202 0.004
Rh: 0.401 0.298 0.504
Rh: 0.599 0.702 0.496
Rh: 0.599 0.798 0.996
Rh: 0.836 0.208 0.004
Rh: 0.836 0.292 0.504

Which is more stable than every other structure shown? d) is more stable than every other one.